Entry from Alexandria: an optimized crystal structure of MnTlSiF6 (PBE with a Hubbard U).

## Properties
symmetry = P-31c (163)
volume = 18.64 Å³ per atom
uncorrected energy = -5.38 eV/atom

a b c (Å): 5.7802 5.7802 11.5984
angles (deg): 90.00 90.00 120.00
Last column: nearest neighbours and their distance in Å.
Positions (direct):
Mn (0.3333, 0.6667, 0.2500)  6 F 2.41
Mn (0.6667, 0.3333, 0.7500)  6 F 2.41
Tl (0.0000, 0.0000, 0.0000)  6 F 2.96
Tl (0.0000, 0.0000, 0.5000)  6 F 2.96
Si (0.6667, 0.3333, 0.2500)  6 F 1.73
Si (0.3333, 0.6667, 0.7500)  6 F 1.73
F (0.6579, 0.5741, 0.1647)  1 Si 1.73
F (0.9162, 0.3421, 0.1647)  1 Si 1.73
F (0.3421, 0.9162, 0.6647)  1 Si 1.73
F (0.0838, 0.6579, 0.8353)  1 Si 1.73
F (0.4259, 0.3421, 0.3353)  1 Si 1.73
F (0.9162, 0.5741, 0.3353)  1 Si 1.73
F (0.5741, 0.9162, 0.8353)  1 Si 1.73
F (0.6579, 0.0838, 0.3353)  1 Si 1.73
F (0.0838, 0.4259, 0.6647)  1 Si 1.73
F (0.4259, 0.0838, 0.1647)  1 Si 1.73
F (0.5741, 0.6579, 0.6647)  1 Si 1.73
F (0.3421, 0.4259, 0.8353)  1 Si 1.73